First-principles (PBE with a Hubbard U) data for a geometry-optimized CdCo2BrF structure, as listed in Alexandria.

Cell: 4.141 5.762 4.141 Å, 90.00 90.00 90.00°
Fractional positions:
Br1 0.000 0.500 0.000
F1 0.000 0.000 0.000
Co1 0.500 0.000 0.000
Cd1 0.500 0.500 0.500
Co2 0.000 0.000 0.500

Calculated values
**Total magnetization**: 4.6 μB/cell
**Energy**: -2.8130 eV/atom
**Symmetry**: P4/mmm